# 1
The following is a DFT calculation (PBE) of an optimized crystal structure of GaCo7Ge3.

Calculated values
The calculated total energy is -5.918 eV/atom.

Geometry as CIF:
```
data_GaCo7Ge3
_cell_length_a 7.825
_cell_length_b 8.516
_cell_length_c 4.778
_cell_angle_alpha 90.00
_cell_angle_beta 115.89
_cell_angle_gamma 90.00
_space_group_name_H-M_alt 'C 1 2/m 1'
_space_group_IT_number 12
loop_
_space_group_symop_operation_xyz
'x,y,z'
'-x,-y,-z'
'-x,y,-z'
'x,-y,z'
'x+1/2,y+1/2,z'
'-x+1/2,-y+1/2,-z'
'-x+1/2,y+1/2,-z'
'x+1/2,-y+1/2,z'
loop_
_atom_site_label
_atom_site_fract_x
_atom_site_fract_y
_atom_site_fract_z
Ga1 0.000 0.000 0.000
Co1 0.000 0.000 0.500
Co2 0.174 0.258 0.178
Co3 0.192 0.500 0.537
Ge1 0.000 0.278 0.500
Ge2 0.000 0.500 0.000
```

# 2
The following is a DFT calculation (PBE) of an optimized crystal structure of GaCo2Ge2.

Calculated values
The calculated total energy is -5.509 eV/atom. For the offset from the most stable computed form, the calculation gives 0 meV/atom.

Geometry as CIF:
```
data_GaCo2Ge2
_cell_length_a 4.1164
_cell_length_b 4.1164
_cell_length_c 4.7601
_cell_angle_alpha 90.00
_cell_angle_beta 90.00
_cell_angle_gamma 120.00
_space_group_name_H-M_alt 'P -3 m 1'
_space_group_IT_number 164
_space_group_name_Hall '-P 3 2"'
loop_
_atom_site_label
_atom_site_fract_x
_atom_site_fract_y
_atom_site_fract_z
Ga1 0.0000 0.0000 0.0000
Co1 0.3333 0.6667 0.8490
Ge1 0.3333 0.6667 0.3488
```

# 3
The following is a DFT calculation (PBE) of an optimized crystal structure of Ga3Co4Ge.

Calculated values
The calculated total energy is -5.487 eV/atom. For the offset from the most stable computed form, the calculation gives 3 meV/atom.

Geometry as CIF:
```
data_Ga3Co4Ge
_cell_length_a 2.887
_cell_length_b 2.887
_cell_length_c 11.618
_cell_angle_alpha 90.00
_cell_angle_beta 90.00
_cell_angle_gamma 90.00
_space_group_name_H-M_alt 'P 4/m m m'
_space_group_IT_number 123
_space_group_name_Hall '-P 4 2'
loop_
_atom_site_label
_atom_site_fract_x
_atom_site_fract_y
_atom_site_fract_z
Ga1 0.000 0.000 0.000
Ga2 0.000 0.000 0.248
Co1 0.500 0.500 0.124
Co2 0.500 0.500 0.378
Ge1 0.000 0.000 0.500
```

# 4
The following is a DFT calculation (PBE) of an optimized crystal structure of GaCoGe2.

Calculated values
The calculated total energy is -4.807 eV/atom.

Geometry as CIF:
```
data_GaCoGe2
_cell_length_a 3.0191
_cell_length_b 3.0191
_cell_length_c 25.0985
_cell_angle_alpha 90.00
_cell_angle_beta 90.00
_cell_angle_gamma 120.00
_space_group_name_H-M_alt 'R -3 m'
_space_group_IT_number 166
_space_group_name_Hall '-R 3 2"'
loop_
_atom_site_label
_atom_site_fract_x
_atom_site_fract_y
_atom_site_fract_z
Ga1 0.0000 0.0000 0.0000
Co1 0.0000 0.0000 0.5000
Ge1 0.0000 0.0000 0.1011
```

# 5
The following is a DFT calculation (PBE) of an optimized crystal structure of GaCo2Ge.

Calculated values
The calculated total energy is -5.620 eV/atom.

Geometry as CIF:
```
data_GaCo2Ge
_cell_length_a 2.788
_cell_length_b 2.788
_cell_length_c 6.265
_cell_angle_alpha 90.00
_cell_angle_beta 90.00
_cell_angle_gamma 90.00
_space_group_name_H-M_alt 'P 4/m m m'
_space_group_IT_number 123
_space_group_name_Hall '-P 4 2'
loop_
_atom_site_label
_atom_site_fract_x
_atom_site_fract_y
_atom_site_fract_z
Ga1 0.000 0.000 0.000
Co1 0.500 0.500 0.263
Ge1 0.000 0.000 0.500
```

# 6
The following is a DFT calculation (PBE) of an optimized crystal structure of GaCo2Ge.

Calculated values
The calculated total energy is -5.222 eV/atom.

Geometry as CIF:
```
data_GaCo2Ge
_cell_length_a 6.371
_cell_length_b 6.371
_cell_length_c 5.448
_cell_angle_alpha 90.00
_cell_angle_beta 90.00
_cell_angle_gamma 90.00
_space_group_name_H-M_alt 'I -4 2 d'
_space_group_IT_number 122
_space_group_name_Hall 'I -4 2bw'
loop_
_atom_site_label
_atom_site_fract_x
_atom_site_fract_y
_atom_site_fract_z
Ga1 0.000 0.000 0.000
Co1 0.234 0.250 0.625
Ge1 0.000 0.000 0.500
```

# 7
The following is a DFT calculation (PBE) of an optimized crystal structure of GaCo2Ge.

Calculated values
The calculated total energy is -5.489 eV/atom.

Geometry as CIF:
```
data_GaCo2Ge
_cell_length_a 3.7007
_cell_length_b 3.7007
_cell_length_c 13.9898
_cell_angle_alpha 90.00
_cell_angle_beta 90.00
_cell_angle_gamma 120.00
_space_group_name_H-M_alt 'R 3 m'
_space_group_IT_number 160
_space_group_name_Hall 'R 3 -2"'
loop_
_atom_site_label
_atom_site_fract_x
_atom_site_fract_y
_atom_site_fract_z
Ga1 0.0000 0.0000 0.0000
Co1 0.0000 0.0000 0.5800
Co2 0.0000 0.0000 0.7706
Ge1 0.0000 0.0000 0.1823
```

# 8
The following is a DFT calculation (PBE) of an optimized crystal structure of GaCo3Ge2.

Calculated values
The calculated total energy is -5.678 eV/atom.

Geometry as CIF:
```
data_GaCo3Ge2
_cell_length_a 12.536
_cell_length_b 4.727
_cell_length_c 5.196
_cell_angle_alpha 90.00
_cell_angle_beta 93.56
_cell_angle_gamma 90.00
_space_group_name_H-M_alt 'C 1 2/c 1'
_space_group_IT_number 15
loop_
_space_group_symop_operation_xyz
'x,y,z'
'-x,-y,-z'
'-x,y,-z+1/2'
'x,-y,z+1/2'
'x+1/2,y+1/2,z'
'-x+1/2,-y+1/2,-z'
'-x+1/2,y+1/2,-z+1/2'
'x+1/2,-y+1/2,z+1/2'
loop_
_atom_site_label
_atom_site_fract_x
_atom_site_fract_y
_atom_site_fract_z
Ga1 0.000 0.107 0.250
Co1 0.000 0.387 0.750
Co2 0.189 0.098 0.665
Ge1 0.154 0.407 0.047
```